No. 1
DFT (PBE) results for a relaxed structure of LiMn2Se.

Computed properties:
Uncorrected formation energy: 0.02 eV per atom
Volume: 18.06 Å³/atom
Calculated total energy: -5.9153 eV/atom

Lattice parameters (Å, degrees): 3.7097 3.7097 18.1820 90.00 90.00 120.00
Space group R3m (No. 160, hexagonal axes)
Inequivalent atoms, fractional coordinates:
Li  0.0000  0.0000  0.0000
Mn  0.0000  0.0000  0.5116
Mn  0.0000  0.0000  0.7860
Se  0.0000  0.0000  0.2527

No. 2
DFT (PBE) results for a relaxed structure of LiMn2Se.

Computed properties:
Uncorrected formation energy: 0.17 eV per atom
Volume: 15.59 Å³/atom
Calculated total energy: -5.7648 eV/atom

Lattice parameters (Å, degrees): 5.517 9.231 2.839 90.00 120.41 90.00
Space group C2/m (No. 12)
Inequivalent atoms, fractional coordinates:
Li  0.000  0.000  0.000
Mn  0.250  0.250  0.500
Se  0.000  0.500  0.000

No. 3
DFT (PBE) results for a relaxed structure of LiMn2Se.

Computed properties:
Uncorrected formation energy: -0.03 eV per atom
Volume: 15.69 Å³/atom
Calculated total energy: -5.9625 eV/atom

Lattice parameters (Å, degrees): 3.379 3.379 5.497 90.00 90.00 90.00
Space group P4mm (No. 99)
Inequivalent atoms, fractional coordinates:
Li  0.000  0.000  0.000
Mn  0.000  0.000  0.517
Mn  0.500  0.500  0.267
Se  0.500  0.500  0.753

No. 4
DFT (PBE) results for a relaxed structure of LiMnSe.

Computed properties:
Uncorrected formation energy: -0.23 eV per atom
ΔE to the lowest computed polymorph: 0.192 eV per atom
Volume: 16.07 Å³/atom
Calculated total energy: -5.0868 eV/atom

Lattice parameters (Å, degrees): 5.021 5.047 7.612 90.00 90.00 90.00
Space group Fmm2 (No. 42)
Inequivalent atoms, fractional coordinates:
Li  0.000  0.000  0.000
Mn  0.000  0.000  0.659
Se  0.000  0.000  0.325

No. 5
DFT (PBE) results for a relaxed structure of LiMn2Se.

Computed properties:
Uncorrected formation energy: 0.15 eV per atom
Volume: 15.78 Å³/atom
Calculated total energy: -5.7860 eV/atom

Lattice parameters (Å, degrees): 2.871 4.594 4.793 90.00 92.92 90.00
Space group P2/m (No. 10)
Inequivalent atoms, fractional coordinates:
Li  0.000  0.000  0.000
Mn  0.289  0.500  0.744
Se  0.500  0.000  0.500

No. 6
DFT (PBE) results for a relaxed structure of Li2MnSiSe4.

Computed properties:
Uncorrected formation energy: -0.66 eV per atom
Volume: 18.72 Å³/atom
Calculated total energy: -4.7073 eV/atom

Lattice parameters (Å, degrees): 7.408 7.604 10.634 90.00 90.00 90.00
Space group Imma (No. 74)
Inequivalent atoms, fractional coordinates:
Li  0.000  0.000  0.000
Li  0.250  0.250  0.250
Mn  0.000  0.000  0.500
Si  0.250  0.250  0.750
Se  0.000  0.015  0.745
Se  0.243  0.250  0.513

No. 7
DFT (PBE) results for a relaxed structure of LiMnSi2Se6.

Computed properties:
Uncorrected formation energy: -0.44 eV per atom
Volume: 24.52 Å³/atom
Calculated total energy: -4.7209 eV/atom

Lattice parameters (Å, degrees): 12.992 12.038 6.627 90.00 108.84 90.00
Space group C2/c (No. 15)
Inequivalent atoms, fractional coordinates:
Li  0.000  0.127  0.250
Mn  0.000  0.223  0.750
Si  0.202  0.417  0.223
Se  0.111  0.075  0.651
Se  0.128  0.435  0.498
Se  0.138  0.244  0.103

No. 8
DFT (PBE) results for a relaxed structure of LiSm2MnSe4.

Computed properties:
Uncorrected formation energy: -1.38 eV per atom
Volume: 23.27 Å³/atom
Calculated total energy: -5.6885 eV/atom

Lattice parameters (Å, degrees): 6.847 4.089 7.079 90.00 110.09 90.00
Space group P2/m (No. 10)
Inequivalent atoms, fractional coordinates:
Li  0.000  0.000  0.000
Sm  0.500  0.000  0.500
Sm  0.500  0.500  0.000
Mn  0.000  0.500  0.500
Se  0.227  0.000  0.741
Se  0.231  0.500  0.246

No. 9
DFT (PBE) results for a relaxed structure of LiSmMnSe3.

Computed properties:
Uncorrected formation energy: -1.18 eV per atom
Volume: 22.16 Å³/atom
Calculated total energy: -5.5609 eV/atom

Lattice parameters (Å, degrees): 7.891 3.973 8.784 90.00 105.07 90.00
Space group P2_1/m (No. 11)
Inequivalent atoms, fractional coordinates:
Li  0.099  0.250  0.096
Sm  0.201  0.250  0.740
Mn  0.329  0.750  0.341
Se  0.095  0.250  0.375
Se  0.240  0.750  0.007
Se  0.436  0.750  0.654

No. 10
DFT (PBE) results for a relaxed structure of LiSm2MnSe5.

Computed properties:
Uncorrected formation energy: -1.39 eV per atom
Volume: 22.65 Å³/atom
Calculated total energy: -5.6021 eV/atom

Lattice parameters (Å, degrees): 4.061 17.901 11.216 90.00 90.00 90.00
Space group Cmc2_1 (No. 36)
Inequivalent atoms, fractional coordinates:
Li  0.000  0.220  0.000
Sm  0.000  0.112  0.306
Sm  0.000  0.122  0.686
Mn  0.000  0.404  0.485
Se  0.000  0.034  0.066
Se  0.000  0.298  0.338
Se  0.000  0.310  0.653
Se  0.000  0.358  0.997
Se  0.000  0.482  0.300

No. 11
DFT (PBE) results for a relaxed structure of Li2MnSnSe4.

Computed properties:
Uncorrected formation energy: -0.71 eV per atom
Volume: 20.87 Å³/atom
Calculated total energy: -4.5763 eV/atom

Lattice parameters (Å, degrees): 6.732 3.851 6.821 90.00 109.23 90.00
Space group P2/m (No. 10)
Inequivalent atoms, fractional coordinates:
Li  0.000  0.000  0.000
Li  0.500  0.500  0.000
Mn  0.000  0.500  0.500
Sn  0.500  0.000  0.500
Se  0.235  0.000  0.734
Se  0.236  0.500  0.252

No. 12
DFT (PBE) results for a relaxed structure of Li4MnSn2Se7.

Computed properties:
Uncorrected formation energy: -0.79 eV per atom
Volume: 26.16 Å³/atom
Calculated total energy: -4.3030 eV/atom

Lattice parameters (Å, degrees): 18.436 7.320 10.871 90.00 93.22 90.00
Space group Cc (No. 9)
Inequivalent atoms, fractional coordinates:
Li  0.000  0.157  0.000
Li  0.074  0.316  0.365
Li  0.214  0.327  0.078
Li  0.356  0.327  0.782
Mn  0.286  0.149  0.426
Sn  0.145  0.153  0.704
Sn  0.428  0.169  0.137
Se  0.039  0.339  0.802
Se  0.104  0.171  0.163
Se  0.185  0.335  0.517
Se  0.248  0.175  0.875
Se  0.323  0.330  0.239
Se  0.393  0.162  0.584
Se  0.462  0.334  0.945

No. 13
DFT (PBE) results for a relaxed structure of LiMnSnSe3.

Computed properties:
Uncorrected formation energy: -0.58 eV per atom
Volume: 22.90 Å³/atom
Calculated total energy: -4.8337 eV/atom

Lattice parameters (Å, degrees): 7.171 3.770 10.714 90.00 108.37 90.00
Space group P2_1/m (No. 11)
Inequivalent atoms, fractional coordinates:
Li  0.121  0.250  0.119
Mn  0.305  0.750  0.382
Sn  0.312  0.250  0.823
Se  0.063  0.250  0.342
Se  0.274  0.750  0.019
Se  0.462  0.750  0.637

No. 14
DFT (PBE) results for a relaxed structure of LiMn2SnSe.

Computed properties:
Uncorrected formation energy: 0.54 eV per atom
Volume: 19.24 Å³/atom
Calculated total energy: -5.0035 eV/atom

Lattice parameters (Å, degrees): 4.667 4.667 4.417 90.00 90.00 90.00
Space group P4/mmm (No. 123)
Inequivalent atoms, fractional coordinates:
Li  0.000  0.000  0.000
Mn  0.000  0.500  0.000
Sn  0.500  0.500  0.500
Se  0.000  0.000  0.500

No. 15
DFT (PBE) results for a relaxed structure of SrLiMn2Se.

Computed properties:
Uncorrected formation energy: 0.11 eV per atom
Volume: 21.82 Å³/atom
Calculated total energy: -4.9733 eV/atom

Lattice parameters (Å, degrees): 4.745 4.745 4.845 90.00 90.00 90.00
Space group P4/mmm (No. 123)
Inequivalent atoms, fractional coordinates:
Sr  0.000  0.000  0.000
Li  0.500  0.500  0.000
Mn  0.000  0.500  0.500
Se  0.500  0.500  0.500

No. 16
DFT (PBE) results for a relaxed structure of SrLiMn2Se4.

Computed properties:
Uncorrected formation energy: -0.92 eV per atom
Volume: 21.86 Å³/atom
Calculated total energy: -5.4012 eV/atom

Lattice parameters (Å, degrees): 4.013 13.084 13.319 90.00 90.00 90.00
Space group Cmcm (No. 63)
Inequivalent atoms, fractional coordinates:
Sr  0.000  0.121  0.250
Li  0.000  0.152  0.750
Mn  0.000  0.370  0.062
Se  0.000  0.000  0.000
Se  0.000  0.265  0.605
Se  0.000  0.446  0.250

No. 17
DFT (PBE) results for a relaxed structure of LiTaMn2Se6.

Computed properties:
Uncorrected formation energy: -0.59 eV per atom
Volume: 21.67 Å³/atom
Calculated total energy: -5.8957 eV/atom

Lattice parameters (Å, degrees): 6.5076 6.5076 17.7199 90.00 90.00 120.00
Space group R3 (No. 146, hexagonal axes)
Inequivalent atoms, fractional coordinates:
Li  0.0000  0.0000  0.0000
Ta  0.0000  0.0000  0.4870
Mn  0.0000  0.0000  0.3058
Mn  0.0000  0.0000  0.8154
Se  0.0013  0.6353  0.0675
Se  0.0194  0.3431  0.5665

No. 18
DFT (PBE) results for a relaxed structure of Li3TaMn3Se8.

Computed properties:
Uncorrected formation energy: -0.73 eV per atom
Volume: 20.58 Å³/atom
Calculated total energy: -5.5995 eV/atom

Lattice parameters (Å, degrees): 7.455 7.464 7.709 118.91 90.11 119.83
Space group P-1 (No. 2)
Inequivalent atoms, fractional coordinates:
Li  0.000  0.000  0.000
Li  0.000  0.500  0.000
Li  0.500  0.000  0.000
Ta  0.000  0.500  0.500
Mn  0.000  0.000  0.500
Mn  0.500  0.000  0.500
Mn  0.500  0.500  0.500
Se  0.242  0.986  0.732
Se  0.243  0.491  0.733
Se  0.254  0.510  0.267
Se  0.257  0.014  0.271

No. 19
DFT (PBE) results for a relaxed structure of LiTb2MnSe4.

Computed properties:
Uncorrected formation energy: -1.39 eV per atom
Volume: 22.52 Å³/atom
Calculated total energy: -5.6750 eV/atom

Lattice parameters (Å, degrees): 6.800 4.035 6.988 90.00 109.99 90.00
Space group P2/m (No. 10)
Inequivalent atoms, fractional coordinates:
Li  0.000  0.000  0.000
Tb  0.500  0.000  0.500
Tb  0.500  0.500  0.000
Mn  0.000  0.500  0.500
Se  0.232  0.000  0.743
Se  0.235  0.500  0.247

No. 20
DFT (PBE) results for a relaxed structure of Li2TbMnSe4.

Computed properties:
Uncorrected formation energy: -1.18 eV per atom
Volume: 21.30 Å³/atom
Calculated total energy: -5.1207 eV/atom

Lattice parameters (Å, degrees): 6.732 3.938 6.801 90.00 109.09 90.00
Space group P2/m (No. 10)
Inequivalent atoms, fractional coordinates:
Li  0.000  0.000  0.000
Li  0.500  0.500  0.000
Tb  0.000  0.500  0.500
Mn  0.500  0.000  0.500
Se  0.272  0.500  0.258
Se  0.274  0.000  0.747